Arrangement w

Material: AcHfBe
Method: DFT, PBE
State: optimized geometry

Lattice parameters (Å, degrees): 7.0671 7.0671 7.0671 90.00 90.00 90.00
Positions (direct):
Ac (0.0000, 0.0000, 0.0000)
Ac (0.0000, 0.5000, 0.5000)
Ac (0.5000, 0.0000, 0.5000)
Ac (0.5000, 0.5000, 0.0000)
Hf (0.2500, 0.2500, 0.2500)
Hf (0.2500, 0.7500, 0.7500)
Hf (0.7500, 0.2500, 0.7500)
Hf (0.7500, 0.7500, 0.2500)
Be (0.2500, 0.2500, 0.7500)
Be (0.2500, 0.7500, 0.2500)
Be (0.7500, 0.2500, 0.2500)
Be (0.7500, 0.7500, 0.7500)

size of the total moment	1.5	μB per cell



Arrangement x

Material: AcHfBe
Method: DFT, PBE
State: optimized geometry

Lattice parameters (Å, degrees): 6.7716 6.7716 6.7716 90.00 90.00 90.00
Positions (direct):
Ac (0.0000, 0.0000, 0.0000)
Ac (0.0000, 0.5000, 0.5000)
Ac (0.5000, 0.0000, 0.5000)
Ac (0.5000, 0.5000, 0.0000)
Hf (0.0000, 0.0000, 0.5000)
Hf (0.0000, 0.5000, 0.0000)
Hf (0.5000, 0.0000, 0.0000)
Hf (0.5000, 0.5000, 0.5000)
Be (0.2500, 0.2500, 0.2500)
Be (0.2500, 0.7500, 0.7500)
Be (0.7500, 0.2500, 0.7500)
Be (0.7500, 0.7500, 0.2500)

size of the total moment	1.3	μB per cell



Most stable structure: arrangement x



Arrangement w

Material: AcBeHg
Method: DFT, PBE
State: optimized geometry

Lattice parameters (Å, degrees): 6.8615 6.8615 6.8615 90.00 90.00 90.00
Positions (direct):
Ac (0.0000, 0.0000, 0.0000)
Ac (0.0000, 0.5000, 0.5000)
Ac (0.5000, 0.0000, 0.5000)
Ac (0.5000, 0.5000, 0.0000)
Be (0.2500, 0.2500, 0.2500)
Be (0.2500, 0.7500, 0.7500)
Be (0.7500, 0.2500, 0.7500)
Be (0.7500, 0.7500, 0.2500)
Hg (0.0000, 0.0000, 0.5000)
Hg (0.0000, 0.5000, 0.0000)
Hg (0.5000, 0.0000, 0.0000)
Hg (0.5000, 0.5000, 0.5000)

size of the total moment	0.2	μB per cell



Arrangement x

Material: AcBeHg
Method: DFT, PBE
State: optimized geometry

Lattice parameters (Å, degrees): 7.3210 7.3210 7.3210 90.00 90.00 90.00
Positions (direct):
Ac (0.0000, 0.0000, 0.0000)
Ac (0.0000, 0.5000, 0.5000)
Ac (0.5000, 0.0000, 0.5000)
Ac (0.5000, 0.5000, 0.0000)
Be (0.2500, 0.2500, 0.7500)
Be (0.2500, 0.7500, 0.2500)
Be (0.7500, 0.2500, 0.2500)
Be (0.7500, 0.7500, 0.7500)
Hg (0.2500, 0.2500, 0.2500)
Hg (0.2500, 0.7500, 0.7500)
Hg (0.7500, 0.2500, 0.7500)
Hg (0.7500, 0.7500, 0.2500)

size of the total moment	0.0	μB per cell



Most stable structure: arrangement w



Arrangement w

Material: AcHoBe
Method: DFT, PBE
State: optimized geometry

Lattice parameters (Å, degrees): 7.1602 7.1602 7.1602 90.00 90.00 90.00
Positions (direct):
Ac (0.0000, 0.0000, 0.0000)
Ac (0.0000, 0.5000, 0.5000)
Ac (0.5000, 0.0000, 0.5000)
Ac (0.5000, 0.5000, 0.0000)
Ho (0.2500, 0.2500, 0.2500)
Ho (0.2500, 0.7500, 0.7500)
Ho (0.7500, 0.2500, 0.7500)
Ho (0.7500, 0.7500, 0.2500)
Be (0.2500, 0.2500, 0.7500)
Be (0.2500, 0.7500, 0.2500)
Be (0.7500, 0.2500, 0.2500)
Be (0.7500, 0.7500, 0.7500)

size of the total moment	0.0	μB per cell



Arrangement x

Material: AcHoBe
Method: DFT, PBE
State: optimized geometry

Lattice parameters (Å, degrees): 7.0969 7.0969 7.0969 90.00 90.00 90.00
Positions (direct):
Ac (0.0000, 0.0000, 0.0000)
Ac (0.0000, 0.5000, 0.5000)
Ac (0.5000, 0.0000, 0.5000)
Ac (0.5000, 0.5000, 0.0000)
Ho (0.0000, 0.0000, 0.5000)
Ho (0.0000, 0.5000, 0.0000)
Ho (0.5000, 0.0000, 0.0000)
Ho (0.5000, 0.5000, 0.5000)
Be (0.2500, 0.2500, 0.2500)
Be (0.2500, 0.7500, 0.7500)
Be (0.7500, 0.2500, 0.7500)
Be (0.7500, 0.7500, 0.2500)

size of the total moment	0.0	μB per cell



Most stable structure: arrangement x



Arrangement w

Material: AcBeIr
Method: DFT, PBE
State: optimized geometry

Lattice parameters (Å, degrees): 6.8403 6.8403 6.8403 90.00 90.00 90.00
Positions (direct):
Ac (0.0000, 0.0000, 0.0000)
Ac (0.0000, 0.5000, 0.5000)
Ac (0.5000, 0.0000, 0.5000)
Ac (0.5000, 0.5000, 0.0000)
Be (0.2500, 0.2500, 0.7500)
Be (0.2500, 0.7500, 0.2500)
Be (0.7500, 0.2500, 0.2500)
Be (0.7500, 0.7500, 0.7500)
Ir (0.2500, 0.2500, 0.2500)
Ir (0.2500, 0.7500, 0.7500)
Ir (0.7500, 0.2500, 0.7500)
Ir (0.7500, 0.7500, 0.2500)

size of the total moment	0.0	μB per cell



Arrangement x

Material: AcBeIr
Method: DFT, PBE
State: optimized geometry

Lattice parameters (Å, degrees): 6.6396 6.6396 6.6396 90.00 90.00 90.00
Positions (direct):
Ac (0.0000, 0.0000, 0.0000)
Ac (0.0000, 0.5000, 0.5000)
Ac (0.5000, 0.0000, 0.5000)
Ac (0.5000, 0.5000, 0.0000)
Be (0.0000, 0.0000, 0.5000)
Be (0.0000, 0.5000, 0.0000)
Be (0.5000, 0.0000, 0.0000)
Be (0.5000, 0.5000, 0.5000)
Ir (0.2500, 0.2500, 0.7500)
Ir (0.2500, 0.7500, 0.2500)
Ir (0.7500, 0.2500, 0.2500)
Ir (0.7500, 0.7500, 0.7500)

size of the total moment	0.0	μB per cell



Arrangement y

Material: AcBeIr
Method: DFT, PBE
State: optimized geometry

Lattice parameters (Å, degrees): 6.3932 6.3932 6.3932 90.00 90.00 90.00
Positions (direct):
Ac (0.0000, 0.0000, 0.0000)
Ac (0.0000, 0.5000, 0.5000)
Ac (0.5000, 0.0000, 0.5000)
Ac (0.5000, 0.5000, 0.0000)
Be (0.2500, 0.2500, 0.2500)
Be (0.2500, 0.7500, 0.7500)
Be (0.7500, 0.2500, 0.7500)
Be (0.7500, 0.7500, 0.2500)
Ir (0.0000, 0.0000, 0.5000)
Ir (0.0000, 0.5000, 0.0000)
Ir (0.5000, 0.0000, 0.0000)
Ir (0.5000, 0.5000, 0.5000)

size of the total moment	0.0	μB per cell



Most stable structure: arrangement x



Arrangement w

Material: AcBeRe
Method: DFT, PBE
State: optimized geometry

Lattice parameters (Å, degrees): 6.3873 6.3873 6.3873 90.00 90.00 90.00
Positions (direct):
Ac (0.0000, 0.0000, 0.0000)
Ac (0.0000, 0.5000, 0.5000)
Ac (0.5000, 0.0000, 0.5000)
Ac (0.5000, 0.5000, 0.0000)
Be (0.0000, 0.0000, 0.5000)
Be (0.0000, 0.5000, 0.0000)
Be (0.5000, 0.0000, 0.0000)
Be (0.5000, 0.5000, 0.5000)
Re (0.2500, 0.2500, 0.2500)
Re (0.2500, 0.7500, 0.7500)
Re (0.7500, 0.2500, 0.7500)
Re (0.7500, 0.7500, 0.2500)

size of the total moment	0.0	μB per cell



Arrangement x

Material: AcBeRe
Method: DFT, PBE
State: optimized geometry

Lattice parameters (Å, degrees): 6.6424 6.6424 6.6424 90.00 90.00 90.00
Positions (direct):
Ac (0.0000, 0.0000, 0.0000)
Ac (0.0000, 0.5000, 0.5000)
Ac (0.5000, 0.0000, 0.5000)
Ac (0.5000, 0.5000, 0.0000)
Be (0.2500, 0.2500, 0.7500)
Be (0.2500, 0.7500, 0.2500)
Be (0.7500, 0.2500, 0.2500)
Be (0.7500, 0.7500, 0.7500)
Re (0.2500, 0.2500, 0.2500)
Re (0.2500, 0.7500, 0.7500)
Re (0.7500, 0.2500, 0.7500)
Re (0.7500, 0.7500, 0.2500)

size of the total moment	6.4	μB per cell



Arrangement y

Material: AcBeRe
Method: DFT, PBE
State: optimized geometry

Lattice parameters (Å, degrees): 6.3458 6.3458 6.3458 90.00 90.00 90.00
Positions (direct):
Ac (0.0000, 0.0000, 0.0000)
Ac (0.0000, 0.5000, 0.5000)
Ac (0.5000, 0.0000, 0.5000)
Ac (0.5000, 0.5000, 0.0000)
Be (0.2500, 0.2500, 0.2500)
Be (0.2500, 0.7500, 0.7500)
Be (0.7500, 0.2500, 0.7500)
Be (0.7500, 0.7500, 0.2500)
Re (0.0000, 0.0000, 0.5000)
Re (0.0000, 0.5000, 0.0000)
Re (0.5000, 0.0000, 0.0000)
Re (0.5000, 0.5000, 0.5000)

size of the total moment	2.1	μB per cell



Most stable structure: arrangement y



Arrangement w

Material: AcTbBe
Method: DFT, PBE
State: optimized geometry

Lattice parameters (Å, degrees): 7.1549 7.1549 7.1549 90.00 90.00 90.00
Positions (direct):
Ac (0.0000, 0.0000, 0.0000)
Ac (0.0000, 0.5000, 0.5000)
Ac (0.5000, 0.0000, 0.5000)
Ac (0.5000, 0.5000, 0.0000)
Tb (0.2500, 0.2500, 0.2500)
Tb (0.2500, 0.7500, 0.7500)
Tb (0.7500, 0.2500, 0.7500)
Tb (0.7500, 0.7500, 0.2500)
Be (0.2500, 0.2500, 0.7500)
Be (0.2500, 0.7500, 0.2500)
Be (0.7500, 0.2500, 0.2500)
Be (0.7500, 0.7500, 0.7500)

size of the total moment	0.0	μB per cell



Arrangement x

Material: AcTbBe
Method: DFT, PBE
State: optimized geometry

Lattice parameters (Å, degrees): 7.1219 7.1219 7.1219 90.00 90.00 90.00
Positions (direct):
Ac (0.0000, 0.0000, 0.0000)
Ac (0.0000, 0.5000, 0.5000)
Ac (0.5000, 0.0000, 0.5000)
Ac (0.5000, 0.5000, 0.0000)
Tb (0.0000, 0.0000, 0.5000)
Tb (0.0000, 0.5000, 0.0000)
Tb (0.5000, 0.0000, 0.0000)
Tb (0.5000, 0.5000, 0.5000)
Be (0.2500, 0.2500, 0.2500)
Be (0.2500, 0.7500, 0.7500)
Be (0.7500, 0.2500, 0.7500)
Be (0.7500, 0.7500, 0.2500)

size of the total moment	0.1	μB per cell



Most stable structure: arrangement x



Arrangement w

Material: AcBeW
Method: DFT, PBE
State: optimized geometry

Lattice parameters (Å, degrees): 6.4087 6.4087 6.4087 90.00 90.00 90.00
Positions (direct):
Ac (0.0000, 0.0000, 0.0000)
Ac (0.0000, 0.5000, 0.5000)
Ac (0.5000, 0.0000, 0.5000)
Ac (0.5000, 0.5000, 0.0000)
Be (0.2500, 0.2500, 0.2500)
Be (0.2500, 0.7500, 0.7500)
Be (0.7500, 0.2500, 0.7500)
Be (0.7500, 0.7500, 0.2500)
W (0.0000, 0.0000, 0.5000)
W (0.0000, 0.5000, 0.0000)
W (0.5000, 0.0000, 0.0000)
W (0.5000, 0.5000, 0.5000)

size of the total moment	0.1	μB per cell



Arrangement x

Material: AcBeW
Method: DFT, PBE
State: optimized geometry

Lattice parameters (Å, degrees): 6.9460 6.9460 6.9460 90.00 90.00 90.00
Positions (direct):
Ac (0.0000, 0.0000, 0.0000)
Ac (0.0000, 0.5000, 0.5000)
Ac (0.5000, 0.0000, 0.5000)
Ac (0.5000, 0.5000, 0.0000)
Be (0.2500, 0.2500, 0.7500)
Be (0.2500, 0.7500, 0.2500)
Be (0.7500, 0.2500, 0.2500)
Be (0.7500, 0.7500, 0.7500)
W (0.2500, 0.2500, 0.2500)
W (0.2500, 0.7500, 0.7500)
W (0.7500, 0.2500, 0.7500)
W (0.7500, 0.7500, 0.2500)

size of the total moment	11.9	μB per cell



Most stable structure: arrangement w



Arrangement w

Material: AcHfBi
Method: DFT, PBE
State: optimized geometry

Lattice parameters (Å, degrees): 7.4862 7.4862 7.4862 90.00 90.00 90.00
Positions (direct):
Ac (0.0000, 0.0000, 0.0000)
Ac (0.0000, 0.5000, 0.5000)
Ac (0.5000, 0.0000, 0.5000)
Ac (0.5000, 0.5000, 0.0000)
Hf (0.0000, 0.0000, 0.5000)
Hf (0.0000, 0.5000, 0.0000)
Hf (0.5000, 0.0000, 0.0000)
Hf (0.5000, 0.5000, 0.5000)
Bi (0.2500, 0.2500, 0.2500)
Bi (0.2500, 0.7500, 0.7500)
Bi (0.7500, 0.2500, 0.7500)
Bi (0.7500, 0.7500, 0.2500)

size of the total moment	5.9	μB per cell



Arrangement x

Material: AcHfBi
Method: DFT, PBE
State: optimized geometry

Lattice parameters (Å, degrees): 7.7813 7.7813 7.7813 90.00 90.00 90.00
Positions (direct):
Ac (0.0000, 0.0000, 0.0000)
Ac (0.0000, 0.5000, 0.5000)
Ac (0.5000, 0.0000, 0.5000)
Ac (0.5000, 0.5000, 0.0000)
Hf (0.2500, 0.2500, 0.2500)
Hf (0.2500, 0.7500, 0.7500)
Hf (0.7500, 0.2500, 0.7500)
Hf (0.7500, 0.7500, 0.2500)
Bi (0.2500, 0.2500, 0.7500)
Bi (0.2500, 0.7500, 0.2500)
Bi (0.7500, 0.2500, 0.2500)
Bi (0.7500, 0.7500, 0.7500)

size of the total moment	8.2	μB per cell



Most stable structure: arrangement w